PBE AcAl9Pd2, optimized geometry; space group = No. 191; polymorph energy (0 for the lowest one) = 81 meV/atom; energy of formation from the pure elements = -0.377 eV/atom; spin magnetization = 0.00 μB per formula unit
1.0
3.968 0.000 0.000
0.000 8.213 0.000
0.000 -4.107 7.113
Pd Al Ac
2 9 1
Cartesian
0.000 4.107 2.371
0.000 0.000 4.742
1.984 0.000 2.927
0.000 2.053 3.556
0.000 4.107 0.000
1.984 2.535 1.463
1.984 1.572 5.649
1.984 -1.572 5.649
1.984 5.678 1.463
0.000 -2.053 3.556
1.984 4.107 4.186
0.000 0.000 0.000

PBE MgGeIr, optimized geometry; space group = No. 11; energy of formation from the pure elements = -0.355 eV/atom; spin magnetization = 0.00 μB per formula unit
1.0
-0.867 0.902 4.786
5.063 -3.430 3.578
4.427 5.208 1.839
Mg Ir Ge
4 4 4
Cartesian
1.259 0.057 5.424
7.364 2.624 4.780
6.003 0.946 8.132
2.619 1.734 2.071
5.424 -2.140 4.248
3.198 4.820 5.956
3.516 0.501 6.825
5.106 2.179 3.378
4.837 -1.706 6.602
4.104 0.067 4.471
3.786 4.386 3.601
4.519 2.613 5.732

no.,calculated total energy (hartree per atom)
1,-0.16141
2,-0.19770